# Ca4HgSe, relaxed, DFT PBE
# - E_tot (eV per atom) = -1.906
# - crystal system = cubic
# - calculated volume (Å³ per atom) = 34.96
data_Ca4HgSe
_chemical_formula_sum 'Ca16 Hg4 Se4'
_symmetry_space_group_name_H-M 'F -4 3 m'
_symmetry_Int_Tables_number 216
_symmetry_space_group_name_Hall 'F -4 2 3'
_cell_length_a 9.432
_cell_length_b 9.432
_cell_length_c 9.432
_cell_angle_alpha 90.00
_cell_angle_beta 90.00
_cell_angle_gamma 90.00
loop_
_atom_site_label
_atom_site_fract_x
_atom_site_fract_y
_atom_site_fract_z
Ca1 0.125 0.125 0.125
Hg1 0.250 0.250 0.750
Se1 0.000 0.000 0.500